Computed, not measured: an optimized crystal structure of Cd2Pd2Rh at the PBE-GGA level of DFT.

Cell and atoms, written as extended XYZ:
```
10
Lattice="6.992 0.000 0.000 0.000 6.992 0.000 0.000 0.000 3.684" Properties=species:S:1:pos:R:3 pbc="T T T"
Rh 0.000 0.000 0.000
Rh 3.496 3.496 0.000
Pd 4.428 0.932 0.000
Cd 5.808 2.312 1.842
Cd 2.312 1.184 1.842
Pd 2.564 6.060 0.000
Cd 4.681 5.808 1.842
Cd 1.184 4.681 1.842
Pd 0.932 2.564 0.000
Pd 6.060 4.428 0.000
```

Values from the calculation:
Its energy relative to the lowest polymorph listed for this composition is 0 meV/atom. The density comes out at 10.0 g/cm³. As for the formation energy: -20 meV/atom.